No. 1
Dy7Ho12Sc PBE-GGA optimized geometry; formation energy = 0.3150 eV/atom; space-group type = No. 148
1.0
9.238 5.333 2.199
-9.238 5.333 2.199
0.000 -10.667 2.199
Dy Ho Sc
7 12 1
Cartesian
0.000 0.000 0.000
-1.521 -2.308 1.962
-1.238 2.471 1.962
2.759 -0.163 1.962
-2.759 0.163 4.635
1.238 -2.471 4.635
1.521 2.308 4.635
-5.331 -5.330 3.066
-7.281 1.952 3.530
-0.607 -5.201 2.831
-4.808 -2.075 3.765
-4.201 3.126 2.831
1.950 -7.282 3.530
-1.950 7.282 3.066
4.201 -3.126 3.765
4.808 2.075 2.831
0.607 5.201 3.765
7.281 -1.952 3.066
5.331 5.330 3.530
0.000 0.000 3.298


No. 2
Tb2InPt PBE-GGA optimized geometry; formation energy = -0.7194 eV/atom; space-group type = No. 166
1.0
1.954 1.128 8.342
-1.954 1.128 8.342
0.000 -2.256 8.342
Tb In Pt
2 1 1
Cartesian
0.000 0.000 5.882
0.000 0.000 19.143
0.000 0.000 0.000
0.000 0.000 12.513


No. 3
ScHg3Pd4 PBE-GGA optimized geometry; formation energy = -0.4400 eV/atom; space-group type = No. 12
1.0
8.073 -2.141 0.000
8.073 2.141 0.000
-1.128 0.000 4.131
Sc Hg Pd
1 3 4
Cartesian
0.000 0.000 0.000
3.774 0.000 1.039
7.508 0.000 2.065
11.243 0.000 3.092
1.248 0.000 2.563
5.132 0.000 3.633
9.885 0.000 0.497
13.769 0.000 1.567


> Which formula does entry 3 have?

ScHg3Pd4


> Among the records above, which one has the lowest formation energy?

Tb2InPt